[1]
# Ba2BeTlPt | Alexandria | GGA-PBE | optimized geometry
data_Ba2BeTlPt
_cell_length_a 6.2132
_cell_length_b 6.2132
_cell_length_c 4.4121
_cell_angle_alpha 90.00
_cell_angle_beta 90.00
_cell_angle_gamma 90.00
_space_group_name_H-M_alt 'P 4/m m m'
_space_group_IT_number 123
_space_group_name_Hall '-P 4 2'
loop_
_atom_site_label
_atom_site_type_symbol
_atom_site_fract_x
_atom_site_fract_y
_atom_site_fract_z
Ba1 Ba 0.0000 0.5000 0.0000
Be1 Be 0.0000 0.0000 0.5000
Tl1 Tl 0.5000 0.5000 0.5000
Pt1 Pt 0.0000 0.0000 0.0000
# Final energy   -3.49 eV/atom
# Energy relative to the elements   -1.486 eV per formula unit
# Total magnetic moment   0.000 μB per atom
# Crystal system   tetragonal

=====

[2]
# BaPuBeS4 | Alexandria | GGA-PBE | optimized geometry
data_BaPuBeS4
_cell_length_a 6.2241
_cell_length_b 6.3613
_cell_length_c 8.5051
_cell_angle_alpha 90.00
_cell_angle_beta 108.67
_cell_angle_gamma 90.00
_space_group_name_H-M_alt 'P 1 21/m 1'
_space_group_IT_number 11
loop_
_space_group_symop_operation_xyz
'x,y,z'
'-x,-y,-z'
'-x,y+1/2,-z'
'x,-y+1/2,z'
loop_
_atom_site_label
_atom_site_type_symbol
_atom_site_fract_x
_atom_site_fract_y
_atom_site_fract_z
Ba1 Ba 0.2376 0.2500 0.4349
Pu1 Pu 0.2677 0.2500 0.9444
Be1 Be 0.2783 0.7500 0.1760
S1 S 0.0735 0.7500 0.9293
S2 S 0.0943 0.7500 0.3448
S3 S 0.4928 0.5033 0.7840
# Final energy   -6.68 eV/atom
# Total magnetic moment   0.572 μB per atom
# ΔE_f (raw)   -1.470 eV per atom
# Crystal system   monoclinic

=====

[3]
# RbBaBe | Alexandria | GGA-PBE | optimized geometry
data_RbBaBe
_cell_length_a 5.8413
_cell_length_b 5.8455
_cell_length_c 8.6288
_cell_angle_alpha 90.00
_cell_angle_beta 109.70
_cell_angle_gamma 90.00
_space_group_name_H-M_alt 'C 1 m 1'
_space_group_IT_number 8
loop_
_space_group_symop_operation_xyz
'x,y,z'
'x,-y,z'
'x+1/2,y+1/2,z'
'x+1/2,-y+1/2,z'
loop_
_atom_site_label
_atom_site_type_symbol
_atom_site_fract_x
_atom_site_fract_y
_atom_site_fract_z
Rb1 Rb 0.0000 0.0000 0.0000
Ba1 Ba 0.2572 0.5000 0.5111
Be1 Be 0.3532 0.0000 0.7047
# Final energy   -1.61 eV/atom
# Energy relative to the elements   1.795 eV per formula unit
# Total magnetic moment   0.000 μB per atom
# Crystal system   monoclinic